VASP calculation (PBE) on crystalline BaTlCoSn2 at its relaxed geometry.

a = 5.1068 Å, b = 5.1068 Å, c = 5.2957 Å
α = 90.00°, β = 90.00°, γ = 90.00°
Closest atoms and distances in Å follow each position.
Space group P4/mmm (No. 123)
One atom of each set of equivalent atoms:
1 Ba 0.0000 0.0000 0.0000  4 Tl 3.61, 8 Sn 3.68
2 Tl 0.5000 0.5000 0.0000  2 Co 2.65
3 Co 0.5000 0.5000 0.5000  4 Sn 2.55, 2 Tl 2.65
4 Sn 0.0000 0.5000 0.5000  2 Co 2.55

Values from the calculation:
Energy relative to the elements = -149 meV/atom
Density of states at the Fermi level = 4.7 states/eV/cell

VASP calculation (PBE) on crystalline BaZn2CoSn at its relaxed geometry.

a = 4.8721 Å, b = 4.8721 Å, c = 4.8788 Å
α = 90.00°, β = 90.00°, γ = 90.00°
Closest atoms and distances in Å follow each position.
Space group P4/mmm (No. 123)
One atom of each set of equivalent atoms:
1 Ba 0.0000 0.0000 0.0000  4 Sn 3.45, 8 Zn 3.45
2 Zn 0.0000 0.5000 0.5000  2 Co 2.44
3 Co 0.5000 0.5000 0.5000  4 Zn 2.44, 2 Sn 2.44
4 Sn 0.5000 0.5000 0.0000  2 Co 2.44

Values from the calculation:
Energy relative to the elements = -203 meV/atom
Density of states at the Fermi level = 3.5 states/eV/cell

VASP calculation (PBE) on crystalline BaZnCoSn2 at its relaxed geometry.

a = 5.0127 Å, b = 5.0127 Å, c = 4.9288 Å
α = 90.00°, β = 90.00°, γ = 90.00°
Closest atoms and distances in Å follow each position.
Space group P4/mmm (No. 123)
One atom of each set of equivalent atoms:
1 Ba 0.0000 0.0000 0.0000  8 Sn 3.51, 4 Zn 3.54
2 Zn 0.5000 0.5000 0.0000  2 Co 2.46
3 Co 0.5000 0.5000 0.5000  2 Zn 2.46, 4 Sn 2.51
4 Sn 0.0000 0.5000 0.5000  2 Co 2.51

Values from the calculation:
Energy relative to the elements = -211 meV/atom
Density of states at the Fermi level = 3.9 states/eV/cell

VASP calculation (PBE) on crystalline BaSrCo4 at its relaxed geometry.

a = 7.5883 Å, b = 7.5883 Å, c = 7.5883 Å
α = 90.00°, β = 90.00°, γ = 90.00°
Closest atoms and distances in Å follow each position.
Space group F-43m (No. 216)
One atom of each set of equivalent atoms:
1 Ba 0.0000 0.0000 0.0000  12 Co 3.15, 4 Sr 3.29
2 Sr 0.2500 0.2500 0.2500  12 Co 3.14, 4 Ba 3.29
3 Co 0.1241 0.1241 0.6241  6 Co 2.66-2.70

Values from the calculation:
Energy relative to the elements = 476 meV/atom
Density of states at the Fermi level = 45.3 states/eV/cell

VASP calculation (PBE) on crystalline BaSr2Co at its relaxed geometry.

a = 5.2603 Å, b = 5.2603 Å, c = 11.4734 Å
α = 90.00°, β = 90.00°, γ = 90.00°
Closest atoms and distances in Å follow each position.
Space group I4/mmm (No. 139)
One atom of each set of equivalent atoms:
1 Ba 0.0000 0.0000 0.0000  4 Co 3.72, 8 Sr 3.89
2 Sr 0.0000 0.5000 0.2500  4 Sr 3.72, 4 Ba 3.89, 4 Co 3.89
3 Co 0.0000 0.0000 0.5000  4 Ba 3.72, 8 Sr 3.89

Values from the calculation:
Energy relative to the elements = 613 meV/atom
Energy above the lowest structure with this stoichiometry = 304 meV/atom
Density of states at the Fermi level = 10.4 states/eV/cell

VASP calculation (PBE) on crystalline BaSr2Co at its relaxed geometry.

a = 8.2099 Å, b = 8.2099 Å, c = 8.2099 Å
α = 90.00°, β = 90.00°, γ = 90.00°
Closest atoms and distances in Å follow each position.
Space group Fm-3m (No. 225)
One atom of each set of equivalent atoms:
1 Ba 0.0000 0.0000 0.0000  8 Sr 3.56
2 Sr 0.2500 0.2500 0.2500  4 Ba 3.56, 4 Co 3.56
3 Co 0.0000 0.0000 0.5000  8 Sr 3.56

Values from the calculation:
Energy relative to the elements = 652 meV/atom
Energy above the lowest structure with this stoichiometry = 343 meV/atom
Density of states at the Fermi level = 24.3 states/eV/cell

VASP calculation (PBE) on crystalline BaSr2Co at its relaxed geometry.

a = 3.9128 Å, b = 3.9128 Å, c = 10.4501 Å
α = 90.00°, β = 90.00°, γ = 90.00°
Closest atoms and distances in Å follow each position.
Space group P4mm (No. 99)
One atom of each set of equivalent atoms:
1 Ba 0.0000 0.0000 0.0000  4 Co 3.33, 1 Sr 3.56
2 Sr 0.0000 0.0000 0.3411  4 Co 3.25, 1 Ba 3.56
3 Sr 0.5000 0.5000 0.6594  8 Sr 3.91-4.33
4 Co 0.5000 0.5000 0.1772  4 Sr 3.25, 4 Ba 3.33

Values from the calculation:
Energy relative to the elements = 339 meV/atom
Energy above the lowest structure with this stoichiometry = 31 meV/atom
Density of states at the Fermi level = 7.9 states/eV/cell

VASP calculation (PBE) on crystalline BaSrCo3 at its relaxed geometry.

a = 5.3463 Å, b = 5.3463 Å, c = 5.3463 Å
α = 90.00°, β = 90.00°, γ = 90.00°
Closest atoms and distances in Å follow each position.
Space group Pm-3m (No. 221)
One atom of each set of equivalent atoms:
1 Ba 0.0000 0.0000 0.0000  12 Co 3.78
2 Sr 0.5000 0.5000 0.5000  6 Co 2.67
3 Co 0.0000 0.5000 0.5000  2 Sr 2.67

Values from the calculation:
Energy relative to the elements = 1503 meV/atom
Energy above the lowest structure with this stoichiometry = 0 meV/atom
Density of states at the Fermi level = 10.7 states/eV/cell

VASP calculation (PBE) on crystalline Ba2SrCo at its relaxed geometry.

a = 5.4236 Å, b = 5.4236 Å, c = 11.1414 Å
α = 90.00°, β = 90.00°, γ = 90.00°
Closest atoms and distances in Å follow each position.
Space group I4/mmm (No. 139)
One atom of each set of equivalent atoms:
1 Ba 0.0000 0.5000 0.2500  4 Ba 3.84, 4 Co 3.89, 4 Sr 3.89
2 Sr 0.0000 0.0000 0.0000  4 Co 3.84, 8 Ba 3.89
3 Co 0.0000 0.0000 0.5000  4 Sr 3.84, 8 Ba 3.89

Values from the calculation:
Energy relative to the elements = 633 meV/atom
Energy above the lowest structure with this stoichiometry = 339 meV/atom
Density of states at the Fermi level = 13.1 states/eV/cell

VASP calculation (PBE) on crystalline BaSrCo3 at its relaxed geometry.

a = 5.1463 Å, b = 5.1463 Å, c = 5.1463 Å
α = 90.00°, β = 90.00°, γ = 90.00°
Closest atoms and distances in Å follow each position.
Space group Pm-3m (No. 221)
One atom of each set of equivalent atoms:
1 Ba 0.0000 0.0000 0.0000  6 Co 2.57
2 Sr 0.5000 0.5000 0.5000  12 Co 3.64
3 Co 0.0000 0.0000 0.5000  2 Ba 2.57

Values from the calculation:
Energy relative to the elements = 1591 meV/atom
Energy above the lowest structure with this stoichiometry = 89 meV/atom
Density of states at the Fermi level = 14.6 states/eV/cell

VASP calculation (PBE) on crystalline BaSr2Co at its relaxed geometry.

a = 6.2019 Å, b = 13.2145 Å, c = 4.2905 Å
α = 90.00°, β = 90.00°, γ = 90.00°
Closest atoms and distances in Å follow each position.
Space group Cmmm (No. 65)
One atom of each set of equivalent atoms:
1 Ba 0.0000 0.0000 0.0000  2 Co 3.10
2 Sr 0.0000 0.3496 0.5000  2 Co 2.92
3 Co 0.0000 0.5000 0.0000  4 Sr 2.92, 2 Ba 3.10

Values from the calculation:
Energy relative to the elements = 319 meV/atom
Energy above the lowest structure with this stoichiometry = 10 meV/atom
Density of states at the Fermi level = 8.3 states/eV/cell

VASP calculation (PBE) on crystalline BaSr2Co at its relaxed geometry.

a = 4.3116 Å, b = 4.3116 Å, c = 32.5451 Å
α = 90.00°, β = 90.00°, γ = 120.00°
Closest atoms and distances in Å follow each position.
Space group R-3m (No. 166, hexagonal axes)
One atom of each set of equivalent atoms:
1 Ba 0.0000 0.0000 0.0000  6 Ba 4.31, 6 Sr 4.47
2 Sr 0.0000 0.0000 0.2191  3 Co 3.02
3 Co 0.0000 0.0000 0.5000  6 Sr 3.02

Values from the calculation:
Energy relative to the elements = 361 meV/atom
Energy above the lowest structure with this stoichiometry = 53 meV/atom
Density of states at the Fermi level = 17.3 states/eV/cell

VASP calculation (PBE) on crystalline BaSr2Co at its relaxed geometry.

a = 3.8863 Å, b = 3.8863 Å, c = 10.5517 Å
α = 90.00°, β = 90.00°, γ = 90.00°
Closest atoms and distances in Å follow each position.
Space group P4/mmm (No. 123)
One atom of each set of equivalent atoms:
1 Ba 0.0000 0.0000 0.0000  4 Ba 3.89
2 Sr 0.5000 0.5000 0.3351  4 Co 3.25, 1 Sr 3.48
3 Co 0.0000 0.0000 0.5000  8 Sr 3.25

Values from the calculation:
Energy relative to the elements = 348 meV/atom
Energy above the lowest structure with this stoichiometry = 39 meV/atom
Density of states at the Fermi level = 8.2 states/eV/cell

VASP calculation (PBE) on crystalline BaSr2Co at its relaxed geometry.

a = 4.2524 Å, b = 6.0702 Å, c = 13.6790 Å
α = 90.00°, β = 90.00°, γ = 90.00°
Closest atoms and distances in Å follow each position.
Space group Amm2 (No. 38)
One atom of each set of equivalent atoms:
1 Ba 0.0000 0.0000 0.0000  2 Co 2.93
2 Sr 0.0000 0.0000 0.2956  2 Co 2.93
3 Sr 0.5000 0.0000 0.6556  2 Co 3.04
4 Co 0.5000 0.0000 0.1478  4 Sr 2.93-3.04, 2 Ba 2.93

Values from the calculation:
Energy relative to the elements = 309 meV/atom
Energy above the lowest structure with this stoichiometry = 0 meV/atom
Density of states at the Fermi level = 11.8 states/eV/cell